VASP calculation (PBE-GGA) on a relaxed structure of CaHoEr2.

Unit cell a=3.520 b=3.520 c=12.591 alpha=81.97 beta=81.97 gamma=60.00
Positions (direct):
Er  0.909  0.909  0.274
Er  0.091  0.091  0.726
Ca  0.000  0.000  0.000
Ho  0.500  0.500  0.500

Computed properties:
Energy of formation in eV/atom: 0.17
Offset from the most stable computed form in eV/atom: 0.097
Magnetization in Bohr magnetons per cell: 0.0
Space group: R-3m
Crystal system: trigonal

=====

VASP calculation (PBE-GGA) on a relaxed structure of CaHoEr2.

Unit cell a=5.072 b=5.059 c=5.059 alpha=90.00 beta=90.00 gamma=90.00
Positions (direct):
Er  0.000  0.500  0.000
Er  0.000  0.000  0.500
Ca  0.500  0.000  0.000
Ho  0.500  0.500  0.500

Computed properties:
Energy of formation in eV/atom: 0.15
Offset from the most stable computed form in eV/atom: 0.079
Magnetization in Bohr magnetons per cell: 0.0
Space group: P4/mmm
Crystal system: tetragonal

=====

VASP calculation (PBE-GGA) on a relaxed structure of CaHoEr14.

Unit cell a=7.194 b=7.194 c=11.176 alpha=90.00 beta=90.00 gamma=120.01
Positions (direct):
Er  0.835  0.165  0.254
Er  0.167  0.333  0.500
Er  0.329  0.165  0.255
Er  0.333  0.667  0.247
Er  0.329  0.165  0.745
Er  0.667  0.333  0.500
Er  0.835  0.165  0.746
Er  0.167  0.334  0.000
Er  0.667  0.833  0.500
Er  0.666  0.833  0.000
Er  0.835  0.671  0.255
Er  0.835  0.671  0.745
Er  0.167  0.833  0.500
Er  0.333  0.667  0.753
Ho  0.167  0.833  0.000
Ca  0.667  0.333  0.000

Computed properties:
Energy of formation in eV/atom: 0.02
Magnetization in Bohr magnetons per cell: 0.0
Space group: Amm2
Crystal system: orthorhombic

=====

VASP calculation (PBE-GGA) on a relaxed structure of CaHo6Er.

Unit cell a=6.732 b=6.599 c=6.898 alpha=104.22 beta=62.78 gamma=87.65
Positions (direct):
Ho  0.575  0.759  0.517
Ho  0.457  0.254  0.996
Ho  0.543  0.746  0.004
Ho  0.096  0.718  0.470
Ho  0.425  0.241  0.483
Ho  0.904  0.282  0.530
Er  0.000  0.500  0.000
Ca  0.000  0.000  0.000

Computed properties:
Energy of formation in eV/atom: 0.23
Magnetization in Bohr magnetons per cell: 0.0
Space group: P-1
Crystal system: triclinic

=====

VASP calculation (PBE-GGA) on a relaxed structure of CaHo8Er5.

Unit cell a=8.392 b=8.392 c=8.392 alpha=110.74 beta=110.74 gamma=106.96
Positions (direct):
Ho  0.602  0.827  0.423
Ho  0.010  0.776  0.098
Ho  0.173  0.596  0.776
Ho  0.088  0.990  0.765
Ho  0.820  0.398  0.224
Ho  0.677  0.912  0.902
Ho  0.224  0.323  0.235
Ho  0.404  0.180  0.577
Er  0.500  0.500  0.000
Er  0.872  0.283  0.817
Er  0.944  0.128  0.411
Er  0.717  0.534  0.589
Er  0.466  0.056  0.183
Ca  0.250  0.750  0.500

Computed properties:
Energy of formation in eV/atom: 0.30
Magnetization in Bohr magnetons per cell: 0.0
Space group: I-4
Crystal system: tetragonal

=====

VASP calculation (PBE-GGA) on a relaxed structure of CaHo6Er5.

Unit cell a=5.005 b=7.924 c=10.002 alpha=90.00 beta=90.00 gamma=71.59
Positions (direct):
Er  0.333  0.334  0.500
Er  0.667  0.666  0.500
Er  0.328  0.345  0.000
Er  0.000  0.000  0.500
Er  0.672  0.655  0.000
Ho  0.830  0.339  0.746
Ho  0.830  0.339  0.254
Ho  0.500  0.000  0.741
Ho  0.170  0.661  0.254
Ho  0.500  0.000  0.259
Ho  0.170  0.661  0.746
Ca  0.000  0.000  0.000

Computed properties:
Energy of formation in eV/atom: 0.05
Magnetization in Bohr magnetons per cell: 0.0
Space group: Cmmm
Crystal system: orthorhombic

=====

VASP calculation (PBE-GGA) on a relaxed structure of CaHo6Er12.

Unit cell a=9.256 b=9.256 c=9.256 alpha=107.62 beta=107.62 gamma=107.62
Positions (direct):
Er  0.500  0.112  0.888
Er  0.888  0.112  0.500
Er  0.866  0.643  0.643
Er  0.134  0.357  0.357
Er  0.112  0.888  0.500
Er  0.112  0.500  0.888
Er  0.357  0.134  0.357
Er  0.357  0.357  0.134
Er  0.643  0.643  0.866
Er  0.888  0.500  0.112
Er  0.643  0.866  0.643
Er  0.500  0.888  0.112
Ho  0.726  0.313  0.313
Ho  0.687  0.687  0.274
Ho  0.313  0.313  0.726
Ho  0.274  0.687  0.687
Ho  0.313  0.726  0.313
Ho  0.687  0.274  0.687
Ca  0.000  0.000  0.000

Computed properties:
Energy of formation in eV/atom: 0.44
Magnetization in Bohr magnetons per cell: 0.0
Space group: R-3m
Crystal system: trigonal

=====

VASP calculation (PBE-GGA) on a relaxed structure of CaHoErIn.

Unit cell a=5.465 b=5.465 c=5.465 alpha=60.00 beta=60.00 gamma=60.00
Positions (direct):
Ca  0.750  0.750  0.750
Ho  0.000  0.000  0.000
In  0.250  0.250  0.250
Er  0.500  0.500  0.500

Computed properties:
Energy of formation in eV/atom: -0.12
Magnetization in Bohr magnetons per cell: 0.0
Space group: F-43m
Crystal system: cubic

=====

VASP calculation (PBE-GGA) on a relaxed structure of CaHoErLu.

Unit cell a=5.681 b=5.681 c=5.681 alpha=60.00 beta=60.00 gamma=60.00
Positions (direct):
Er  0.500  0.500  0.500
Lu  0.250  0.250  0.250
Ca  0.750  0.750  0.750
Ho  0.000  0.000  0.000

Computed properties:
Energy of formation in eV/atom: 0.18
Magnetization in Bohr magnetons per cell: 0.0
Space group: F-43m
Crystal system: cubic

=====

VASP calculation (PBE-GGA) on a relaxed structure of CaNdHoEr.

Unit cell a=5.768 b=5.768 c=5.768 alpha=60.00 beta=60.00 gamma=60.00
Positions (direct):
Ho  0.750  0.750  0.750
Er  0.500  0.500  0.500
Nd  0.250  0.250  0.250
Ca  0.000  0.000  0.000

Computed properties:
Energy of formation in eV/atom: 0.14
Magnetization in Bohr magnetons per cell: 0.0
Space group: F-43m
Crystal system: cubic